[1]
Material: Cd5In12Sn3
Method: DFT, PBE-GGA
State: optimized geometry

Computed properties:
Symmetry: Ia-3d
Calculated formation energy: 143 meV/atom
DFT total energy: -186.349 eV for the cell shown

Unit cell a=15.007 b=15.007 c=15.007 alpha=109.47 beta=109.47 gamma=109.47
Positions (direct):
In 0.575 0.940 0.667
Cd 0.375 0.250 0.125
Cd 0.500 0.000 0.000
In 0.060 0.636 0.727
Sn 0.875 0.750 0.125
In 0.727 0.136 0.060
In 0.925 0.092 0.864
In 0.227 0.667 0.092
Sn 0.750 0.375 0.125
Cd 0.375 0.125 0.750
Sn 0.250 0.125 0.375
In 0.060 0.425 0.833
In 0.440 0.667 0.075
In 0.075 0.908 0.136
In 0.925 0.833 0.560
Sn 0.625 0.375 0.750
Sn 0.375 0.750 0.625
Sn 0.125 0.875 0.750
In 0.425 0.060 0.333
Cd 0.625 0.750 0.875
In 0.727 0.592 0.167
Sn 0.125 0.250 0.875
Cd 0.000 0.500 0.500
Cd 0.000 0.000 0.500
Cd 0.250 0.875 0.125
In 0.908 0.075 0.636
Cd 0.500 0.500 0.500
In 0.864 0.273 0.440
In 0.667 0.227 0.592
In 0.075 0.167 0.440
In 0.833 0.925 0.060
Cd 0.000 0.500 0.000
Cd 0.750 0.125 0.875
In 0.773 0.333 0.908
Cd 0.750 0.625 0.375
In 0.167 0.075 0.940
In 0.364 0.940 0.773
In 0.273 0.408 0.833
In 0.908 0.833 0.773
Cd 0.875 0.250 0.625
In 0.592 0.864 0.425
Cd 0.500 0.000 0.500
In 0.592 0.727 0.667
In 0.940 0.364 0.273
Cd 0.125 0.750 0.375
In 0.227 0.560 0.636
In 0.273 0.864 0.940
In 0.636 0.060 0.227
In 0.136 0.408 0.075
In 0.636 0.575 0.908
In 0.560 0.333 0.925
In 0.440 0.773 0.864
In 0.425 0.364 0.592
In 0.408 0.273 0.333
Cd 0.875 0.625 0.750
Sn 0.625 0.250 0.375
In 0.364 0.425 0.092
In 0.667 0.440 0.575
In 0.940 0.575 0.167
Sn 0.750 0.875 0.625
In 0.833 0.908 0.273
In 0.092 0.925 0.364
In 0.575 0.636 0.408
In 0.333 0.773 0.408
Sn 0.375 0.625 0.250
In 0.167 0.092 0.727
Sn 0.250 0.625 0.875
Sn 0.875 0.125 0.250
Cd 0.625 0.875 0.250
Cd 0.250 0.375 0.625
In 0.408 0.136 0.575
Cd 0.500 0.500 0.000
In 0.560 0.227 0.136
Cd 0.000 0.000 0.000
In 0.864 0.592 0.925
In 0.136 0.727 0.560
In 0.333 0.560 0.425
In 0.773 0.440 0.364
Cd 0.125 0.375 0.250
In 0.092 0.167 0.227

[2]
Material: Cd4In5Sn
Method: DFT, PBE-GGA
State: optimized geometry

Computed properties:
Symmetry: P4/mmm
Calculated formation energy: 21 meV/atom
DFT total energy: -21.143 eV for the cell shown
Relative energy among the computed polymorphs: 0.0000 eV/atom

Unit cell a=3.315 b=3.315 c=23.246 alpha=90.00 beta=90.00 gamma=90.00
Positions (direct):
Sn 0.000 0.000 0.000
Cd 0.000 0.000 0.208
In 0.500 0.500 0.108
Cd 0.000 0.000 0.598
In 0.500 0.500 0.305
In 0.500 0.500 0.500
In 0.500 0.500 0.892
In 0.500 0.500 0.695
Cd 0.000 0.000 0.402
Cd 0.000 0.000 0.792

[3]
Material: CdIn2Sn2
Method: DFT, PBE-GGA
State: optimized geometry

Computed properties:
Symmetry: Cmc2_1
Calculated formation energy: 51 meV/atom
DFT total energy: -28.285 eV for the cell shown
Relative energy among the computed polymorphs: 0.0000 eV/atom

Unit cell a=5.488 b=6.473 c=8.094 alpha=90.00 beta=109.82 gamma=90.00
Positions (direct):
In 0.605 0.827 0.211
Sn 0.193 0.074 0.386
In 0.395 0.327 0.789
In 0.196 0.576 0.391
Sn 0.807 0.574 0.614
Sn 0.996 0.827 0.992
Cd 0.390 0.830 0.779
In 0.804 0.076 0.609
Sn 0.004 0.327 0.008
Cd 0.610 0.330 0.221

The highest DFT total energy belongs to which entry? Cd4In5Sn

What is the calculated formation energy in the second record? 21 meV/atom